{
  "formula": "SmNiS2O8",
  "functional": "PBE+U",
  "state": "relaxed",
  "lattice_angstrom": [[5.159, 0.000, 0.000], [-2.580, 4.468, 0.000], [0.000, 0.000, 6.925]],
  "species": ["O", "O", "O", "O", "O", "O", "O", "O", "S", "S", "Sm", "Ni"],
  "frac_coords": [[0.825, 0.175, 0.223], [0.667, 0.333, 0.507], [0.350, 0.175, 0.223], [0.333, 0.667, 0.493], [0.175, 0.350, 0.777], [0.825, 0.650, 0.223], [0.175, 0.825, 0.777], [0.650, 0.825, 0.777], [0.333, 0.667, 0.710], [0.667, 0.333, 0.290], [0.000, 0.000, 0.500], [0.000, 0.000, 0.000]],
  "e_tot_ev_per_atom": -6.19,
  "magnetic_moment_mub_per_cell": 1.07,
  "spacegroup": "P-3m1 (164)"
}